1.
A plane-wave DFT calculation with PBE-GGA was carried out for a relaxed FeNiOs2 crystal.

## Properties
Size of the total moment in μB per atom: 0.67
E_tot in eV per cell: -35.3
Energy of formation from the pure elements in meV/atom: 352
Fermi-level density of states in states/eV per cell: 4.6

Lattice parameters (Å, degrees): 2.6159 2.6159 8.6811 90.00 90.00 116.36
Each line ends with the local moment (μB).
Sites, in units of the cell vectors:
Fe1 0.5000 0.5000 0.2500  2.54
Ni1 0.5000 0.5000 0.7500  -0.06
Os1 0.0000 0.0000 0.9998  0.10
Os2 0.0000 0.0000 0.5002  0.10


2.
A plane-wave DFT calculation with PBE-GGA was carried out for a relaxed CuSb2Te crystal.

## Properties
Size of the total moment in μB per atom: 0.00
Raw formation energy in eV/atom: 0.08
E_tot in eV per cell: -15.2
Fermi-level density of states in states/eV per cell: 1.4

Lattice parameters (Å, degrees): 3.9721 5.2505 5.2486 65.58 90.00 90.00
Sites, in units of the cell vectors:
Cu1 0.5000 0.7500 0.7500
Sb1 0.0000 0.9505 0.9505
Sb2 0.0000 0.5495 0.5495
Te1 0.5000 0.2500 0.2500


3.
A plane-wave DFT calculation with PBE-GGA was carried out for a relaxed EuGdCdSn crystal.

## Properties
Size of the total moment in μB per atom: 0.02
E_tot in eV per cell: -31.3
Energy of formation from the pure elements in meV/atom: -509
Fermi-level density of states in states/eV per cell: 5.2

Lattice parameters (Å, degrees): 5.4479 5.4479 5.4479 60.00 60.00 60.00
Each line ends with the local moment (μB).
Sites, in units of the cell vectors:
Eu1 0.5000 0.5000 0.5000  -6.80
Gd1 0.0000 0.0000 0.0000  7.00
Sn1 0.2500 0.2500 0.2500  -0.02
Cd1 0.7500 0.7500 0.7500  -0.01


4.
A plane-wave DFT calculation with PBE-GGA was carried out for a relaxed Ce2BeGeRh6 crystal.

## Properties
Size of the total moment in μB per atom: 0.05
E_tot in eV per cell: -69.5
Energy of formation from the pure elements in meV/atom: -521
Fermi-level density of states in states/eV per cell: 8.7

Lattice parameters (Å, degrees): 6.2512 6.2570 6.2615 59.97 59.99 90.00
Each line ends with the local moment (μB).
Sites, in units of the cell vectors:
Ce1 0.7501 0.2501 0.4998  0.41
Ce2 0.2499 0.7499 0.5002  0.41
Be1 0.5000 0.5000 0.0000  0.00
Ge1 0.0000 0.0000 0.0000  0.00
Rh1 0.2622 0.2622 0.4755  -0.07
Rh2 0.7379 0.7375 0.0001  -0.07
Rh3 0.2622 0.7377 0.0000  -0.07
Rh4 0.7378 0.2623 0.0000  -0.07
Rh5 0.2621 0.2625 0.9999  -0.07
Rh6 0.7378 0.7378 0.5245  -0.07